1.
VASP calculation (GGA-PBE) on crystalline LaTeIr2 at its relaxed geometry.

Computed properties:
ΔE_f (raw) = -0.11 eV/atom
D(E_F) = 2.93 states/eV/f.u.
raw total energy = -6.560 eV per atom
space-group type = I4/mmm (139)

Cell lengths 5.238, 5.238, 5.238 Å; angles 129.78, 129.78, 73.76 degrees
Element x y z (fractional)
La (0.000, 0.000, 0.000)
Te (0.500, 0.500, 0.000)
Ir (0.250, 0.750, 0.500)
Ir (0.750, 0.250, 0.500)

=====

2.
VASP calculation (GGA-PBE) on crystalline La9Pr4Cd11 at its relaxed geometry.

Computed properties:
D(E_F) = 27.46 states/eV/f.u.
raw total energy = -3.331 eV per atom
DFT formation energy = -6.41 eV/f.u.
space-group type = Cmmm (65)

Cell lengths 14.420, 14.420, 3.718 Å; angles 90.00, 90.00, 109.88 degrees
Element x y z (fractional)
La (0.000, 0.000, 0.000)
La (0.119, 0.654, 0.000)
La (0.293, 0.472, 0.000)
La (0.346, 0.881, 0.000)
La (0.472, 0.293, 0.000)
La (0.528, 0.707, 0.000)
La (0.654, 0.119, 0.000)
La (0.707, 0.528, 0.000)
La (0.881, 0.346, 0.000)
Pr (0.072, 0.251, 0.000)
Pr (0.251, 0.072, 0.000)
Pr (0.749, 0.928, 0.000)
Pr (0.928, 0.749, 0.000)
Cd (0.088, 0.451, 0.500)
Cd (0.130, 0.870, 0.500)
Cd (0.267, 0.267, 0.500)
Cd (0.324, 0.676, 0.500)
Cd (0.451, 0.088, 0.500)
Cd (0.500, 0.500, 0.500)
Cd (0.549, 0.912, 0.500)
Cd (0.676, 0.324, 0.500)
Cd (0.733, 0.733, 0.500)
Cd (0.870, 0.130, 0.500)
Cd (0.912, 0.549, 0.500)